Record 1
# ScTiAlV2

A relaxed ScTiAlV2 crystal (PBE, Alexandria).

Results
formation energy from the elements: 0.6688 eV per atom
total moment: 0.194 μB per atom

Cell lengths 4.3646, 4.3646, 4.9325 Å; angles 90.00, 90.00, 90.00 degrees
Space group P4/mmm (No. 123)
One atom of each set of equivalent atoms:
Sc (0.0000, 0.0000, 0.0000) x1
Ti (0.5000, 0.5000, 0.5000) x1
Al (0.5000, 0.5000, 0.0000) x1
V (0.0000, 0.5000, 0.5000) x2

***

Record 2
# YScTiAl

A relaxed YScTiAl crystal (PBE, Alexandria).

Results
formation energy from the elements: -0.0887 eV per atom
total moment: 0.669 μB per atom

Cell lengths 7.0826, 7.0826, 7.0826 Å; angles 90.00, 90.00, 90.00 degrees
Space group F-43m (No. 216)
One atom of each set of equivalent atoms:
Y (0.0000, 0.0000, 0.0000) x4
Sc (0.0000, 0.0000, 0.5000) x4
Ti (0.2500, 0.2500, 0.7500) x4
Al (0.2500, 0.2500, 0.2500) x4

***

Record 3
# ScTi2AlZn

A relaxed ScTi2AlZn crystal (PBE, Alexandria).

Results
formation energy from the elements: 1.0799 eV per atom
total moment: 0.000 μB per atom

Cell lengths 4.5928, 4.5928, 5.0850 Å; angles 90.00, 90.00, 90.00 degrees
Space group P4/mmm (No. 123)
One atom of each set of equivalent atoms:
Sc (0.0000, 0.0000, 0.0000) x1
Ti (0.0000, 0.5000, 0.0000) x2
Al (0.0000, 0.0000, 0.5000) x1
Zn (0.5000, 0.5000, 0.5000) x1

***

Record 4
# ScAl2Tl

A relaxed ScAl2Tl crystal (PBE, Alexandria).

Results
formation energy from the elements: -0.0223 eV per atom
total moment: 0.055 μB per atom

Cell lengths 3.1445, 3.1445, 8.9512 Å; angles 90.00, 90.00, 90.00 degrees
Space group P4/mmm (No. 123)
One atom of each set of equivalent atoms:
Sc (0.0000, 0.0000, 0.0000) x1
Al (0.5000, 0.5000, 0.2164) x2
Tl (0.0000, 0.0000, 0.5000) x1

***

Record 5
# Sc4AlTl

A relaxed Sc4AlTl crystal (PBE, Alexandria).

Results
formation energy from the elements: -0.0343 eV per atom
E above lowest polymorph: 0 meV/atom
total moment: 0.150 μB per atom

Cell lengths 3.3129, 5.2138, 8.3282 Å; angles 90.00, 90.00, 90.00 degrees
Space group Pmmm (No. 47)
One atom of each set of equivalent atoms:
Sc (0.0000, 0.0000, 0.1854) x2
Sc (0.5000, 0.5000, 0.2911) x2
Al (0.0000, 0.5000, 0.0000) x1
Tl (0.5000, 0.0000, 0.5000) x1

***

Record 6
# Sc8AlTl2

A relaxed Sc8AlTl2 crystal (PBE, Alexandria).

Results
formation energy from the elements: -0.0731 eV per atom
total moment: 0.090 μB per atom

Cell lengths 8.1681, 14.1325, 5.0966 Å; angles 90.00, 116.50, 90.00 degrees
Space group C2/m (No. 12)
One atom of each set of equivalent atoms:
Sc (0.0000, 0.2061, 0.0000) x4
Sc (0.1040, 0.5000, 0.7986) x4
Sc (0.2117, 0.1100, 0.6277) x8
Al (0.0000, 0.0000, 0.0000) x2
Tl (0.0000, 0.3045, 0.5000) x4

***

Record 7
# Sc7Al2Tl2

A relaxed Sc7Al2Tl2 crystal (PBE, Alexandria).

Results
formation energy from the elements: 0.0097 eV per atom
total moment: 0.000 μB per atom

Cell lengths 6.7257, 10.5141, 7.7612 Å; angles 90.00, 90.00, 90.00 degrees
Space group Cmmm (No. 65)
One atom of each set of equivalent atoms:
Sc (0.0000, 0.0000, 0.0000) x2
Sc (0.0000, 0.5000, 0.2051) x4
Sc (0.2500, 0.2500, 0.2892) x8
Al (0.0000, 0.2744, 0.0000) x4
Tl (0.2206, 0.0000, 0.5000) x4

***

Record 8
# Sc2Al2Tl

A relaxed Sc2Al2Tl crystal (PBE, Alexandria).

Results
formation energy from the elements: -0.2881 eV per atom
E above lowest polymorph: 0 meV/atom
total moment: 0.000 μB per atom

Cell lengths 7.7990, 7.7990, 3.4218 Å; angles 90.00, 90.00, 90.00 degrees
Space group P4/mbm (No. 127)
One atom of each set of equivalent atoms:
Sc (0.1788, 0.3212, 0.0000) x4
Al (0.1166, 0.6166, 0.5000) x4
Tl (0.0000, 0.0000, 0.5000) x2

***

Record 9
# Sc2AlTl

A relaxed Sc2AlTl crystal (PBE, Alexandria).

Results
formation energy from the elements: 0.1344 eV per atom
total moment: 0.117 μB per atom

Cell lengths 7.0834, 7.0834, 7.0834 Å; angles 90.00, 90.00, 90.00 degrees
Space group F-43m (No. 216)
One atom of each set of equivalent atoms:
Sc (0.0000, 0.0000, 0.0000) x4
Sc (0.2500, 0.2500, 0.2500) x4
Al (0.2500, 0.2500, 0.7500) x4
Tl (0.0000, 0.0000, 0.5000) x4

***

Record 10
# ScAl2Tl

A relaxed ScAl2Tl crystal (PBE, Alexandria).

Results
formation energy from the elements: -0.1399 eV per atom
total moment: 0.000 μB per atom

Cell lengths 4.1728, 4.1728, 9.4128 Å; angles 90.00, 90.00, 90.00 degrees
Space group I4/mmm (No. 139)
One atom of each set of equivalent atoms:
Sc (0.0000, 0.0000, 0.0000) x2
Al (0.0000, 0.5000, 0.2500) x4
Tl (0.0000, 0.0000, 0.5000) x2

***

Record 11
# Sc2Al2Tl

A relaxed Sc2Al2Tl crystal (PBE, Alexandria).

Results
formation energy from the elements: -0.1350 eV per atom
E above lowest polymorph: 153 meV/atom
total moment: 0.000 μB per atom

Cell lengths 8.2037, 8.2037, 3.3249 Å; angles 90.00, 90.00, 90.00 degrees
Space group P4/mbm (No. 127)
One atom of each set of equivalent atoms:
Sc (0.1776, 0.3224, 0.0000) x4
Al (0.1164, 0.6164, 0.5000) x4
Tl (0.0000, 0.0000, 0.0000) x2

***

Record 12
# Sc4AlTl

A relaxed Sc4AlTl crystal (PBE, Alexandria).

Results
formation energy from the elements: 0.1973 eV per atom
E above lowest polymorph: 232 meV/atom
total moment: 0.000 μB per atom

Cell lengths 8.2559, 8.2559, 8.2559 Å; angles 90.00, 90.00, 90.00 degrees
Space group F-43m (No. 216)
One atom of each set of equivalent atoms:
Sc (0.1243, 0.1243, 0.3757) x16
Al (0.2500, 0.2500, 0.7500) x4
Tl (0.0000, 0.0000, 0.0000) x4

***

Record 13
# ScAl4Tl

A relaxed ScAl4Tl crystal (PBE, Alexandria).

Results
formation energy from the elements: -0.0823 eV per atom
total moment: 0.000 μB per atom

Cell lengths 7.7842, 7.7842, 7.7842 Å; angles 90.00, 90.00, 90.00 degrees
Space group F-43m (No. 216)
One atom of each set of equivalent atoms:
Sc (0.0000, 0.0000, 0.0000) x4
Al (0.1252, 0.1252, 0.3748) x16
Tl (0.2500, 0.2500, 0.7500) x4

***

Record 14
# Sc2AlTl

A relaxed Sc2AlTl crystal (PBE, Alexandria).

Results
formation energy from the elements: -0.2552 eV per atom
total moment: 0.000 μB per atom

Cell lengths 11.4511, 3.5069, 4.8124 Å; angles 90.00, 114.79, 90.00 degrees
Space group Cm (No. 8)
One atom of each set of equivalent atoms:
Sc (0.0000, 0.0000, 0.0000) x2
Sc (0.2422, 0.0000, 0.7435) x2
Al (0.2548, 0.5000, 0.2561) x2
Tl (0.4818, 0.0000, 0.4817) x2

***

Record 15
# Sc3AlTl

A relaxed Sc3AlTl crystal (PBE, Alexandria).

Results
formation energy from the elements: -0.0843 eV per atom
E above lowest polymorph: 182 meV/atom
total moment: 0.000 μB per atom

Cell lengths 7.3707, 7.3707, 5.1059 Å; angles 90.00, 90.00, 120.00 degrees
Space group P6_3/mmc (No. 194)
One atom of each set of equivalent atoms:
Sc (0.1918, 0.3835, 0.2500) x6
Al (0.0000, 0.0000, 0.0000) x2
Tl (0.3333, 0.6667, 0.7500) x2

***

Record 16
# Sc2AlTl

A relaxed Sc2AlTl crystal (PBE, Alexandria).

Results
formation energy from the elements: 0.0093 eV per atom
total moment: 0.108 μB per atom

Cell lengths 3.2801, 3.2801, 30.0106 Å; angles 90.00, 90.00, 120.00 degrees
Space group R3m (No. 160, hexagonal axes)
One atom of each set of equivalent atoms:
Sc (0.0000, 0.0000, 0.0000) x3
Sc (0.0000, 0.0000, 0.2490) x3
Al (0.0000, 0.0000, 0.7466) x3
Tl (0.0000, 0.0000, 0.4944) x3

***

Record 17
# ScAlTl3

A relaxed ScAlTl3 crystal (PBE, Alexandria).

Results
formation energy from the elements: 0.5826 eV per atom
E above lowest polymorph: 126 meV/atom
total moment: 0.002 μB per atom

Cell lengths 5.6373, 5.6373, 5.6373 Å; angles 90.00, 90.00, 90.00 degrees
Space group Pm-3m (No. 221)
One atom of each set of equivalent atoms:
Sc (0.0000, 0.0000, 0.0000) x1
Al (0.5000, 0.5000, 0.5000) x1
Tl (0.0000, 0.0000, 0.5000) x3

***

Record 18
# Sc4AlTl3

A relaxed Sc4AlTl3 crystal (PBE, Alexandria).

Results
formation energy from the elements: -0.2912 eV per atom
total moment: 0.000 μB per atom

Cell lengths 3.5146, 3.5146, 14.5506 Å; angles 90.00, 90.00, 90.00 degrees
Space group P4/mmm (No. 123)
One atom of each set of equivalent atoms:
Sc (0.0000, 0.0000, 0.1118) x2
Sc (0.0000, 0.0000, 0.3690) x2
Al (0.5000, 0.5000, 0.0000) x1
Tl (0.5000, 0.5000, 0.2408) x2
Tl (0.5000, 0.5000, 0.5000) x1

***

Record 19
# ScAlTl3

A relaxed ScAlTl3 crystal (PBE, Alexandria).

Results
formation energy from the elements: 0.4565 eV per atom
E above lowest polymorph: 0 meV/atom
total moment: 0.000 μB per atom

Cell lengths 5.3013, 5.3013, 5.3013 Å; angles 90.00, 90.00, 90.00 degrees
Space group Pm-3m (No. 221)
One atom of each set of equivalent atoms:
Sc (0.0000, 0.0000, 0.0000) x1
Al (0.5000, 0.5000, 0.5000) x1
Tl (0.0000, 0.5000, 0.5000) x3

***

Record 20
# Sc2AlTl

A relaxed Sc2AlTl crystal (PBE, Alexandria).

Results
formation energy from the elements: -0.2279 eV per atom
total moment: 0.000 μB per atom

Cell lengths 3.3765, 3.3765, 27.7257 Å; angles 90.00, 90.00, 120.00 degrees
Space group R-3m (No. 166, hexagonal axes)
One atom of each set of equivalent atoms:
Sc (0.0000, 0.0000, 0.2435) x6
Al (0.0000, 0.0000, 0.5000) x3
Tl (0.0000, 0.0000, 0.0000) x3

***

Record 21
# Sc2AlTl

A relaxed Sc2AlTl crystal (PBE, Alexandria).

Results
formation energy from the elements: -0.3140 eV per atom
total moment: 0.193 μB per atom

Cell lengths 6.2643, 8.5488, 3.1891 Å; angles 90.00, 90.00, 90.00 degrees
Space group Cmmm (No. 65)
One atom of each set of equivalent atoms:
Sc (0.2500, 0.2500, 0.0000) x4
Al (0.0000, 0.0000, 0.5000) x2
Tl (0.0000, 0.5000, 0.5000) x2

***

Record 22
# ScAl2Tl

A relaxed ScAl2Tl crystal (PBE, Alexandria).

Results
formation energy from the elements: 0.1409 eV per atom
total moment: 0.000 μB per atom

Cell lengths 7.8334, 7.8334, 5.8631 Å; angles 90.00, 90.00, 90.00 degrees
Space group I-42d (No. 122)
One atom of each set of equivalent atoms:
Sc (0.0000, 0.0000, 0.0000) x4
Al (0.2334, 0.2500, 0.6250) x8
Tl (0.0000, 0.0000, 0.5000) x4

***

Record 23
# Sc8Al2Tl

A relaxed Sc8Al2Tl crystal (PBE, Alexandria).

Results
formation energy from the elements: -0.1112 eV per atom
E above lowest polymorph: 123 meV/atom
total moment: 0.066 μB per atom

Cell lengths 8.1855, 13.4117, 5.0956 Å; angles 90.00, 112.77, 90.00 degrees
Space group C2/m (No. 12)
One atom of each set of equivalent atoms:
Sc (0.0000, 0.2205, 0.0000) x4
Sc (0.0982, 0.5000, 0.7965) x4
Sc (0.2121, 0.1202, 0.6269) x8
Al (0.0000, 0.3052, 0.5000) x4
Tl (0.0000, 0.0000, 0.0000) x2

***

Record 24
# Sc2AlTl

A relaxed Sc2AlTl crystal (PBE, Alexandria).

Results
formation energy from the elements: -0.2974 eV per atom
total moment: 0.000 μB per atom

Cell lengths 3.4127, 4.9840, 5.0502 Å; angles 90.00, 90.00, 90.00 degrees
Space group Pmm2 (No. 25)
One atom of each set of equivalent atoms:
Sc (0.0000, 0.0000, 0.0000) x1
Sc (0.0000, 0.5000, 0.4423) x1
Al (0.5000, 0.0000, 0.4952) x1
Tl (0.5000, 0.5000, 0.9354) x1

***

Record 25
# Sc2AlTl2

A relaxed Sc2AlTl2 crystal (PBE, Alexandria).

Results
formation energy from the elements: -0.1344 eV per atom
E above lowest polymorph: 0 meV/atom
total moment: 0.000 μB per atom

Cell lengths 7.2531, 7.2531, 4.3971 Å; angles 90.00, 90.00, 90.00 degrees
Space group P4/mbm (No. 127)
One atom of each set of equivalent atoms:
Sc (0.1664, 0.3336, 0.0000) x4
Al (0.0000, 0.0000, 0.5000) x2
Tl (0.1420, 0.6420, 0.5000) x4

***

Record 26
# ScAl2Tl

A relaxed ScAl2Tl crystal (PBE, Alexandria).

Results
formation energy from the elements: -0.0928 eV per atom
total moment: 0.000 μB per atom

Cell lengths 5.9970, 8.3613, 3.3356 Å; angles 90.00, 90.00, 90.00 degrees
Space group Cmmm (No. 65)
One atom of each set of equivalent atoms:
Sc (0.0000, 0.0000, 0.0000) x2
Al (0.2500, 0.2500, 0.5000) x4
Tl (0.0000, 0.5000, 0.0000) x2